First-principles (GGA-PBE) data for an optimized crystal structure of LaTl3, as listed in Alexandria via LeMat-Bulk.

The space group is Cmmm (No. 65) and the conventional cell measures 3.869, 5.864 and 10.983 Å, with angles of 90.00, 90.00 and 90.00 degrees. The asymmetric unit holds La at (0.000, 0.000, 0.000), Tl at (0.000, 0.000, 0.500) and Tl at (0.000, 0.500, 0.255).

As for the uncorrected energy: -3.08 eV per atom.


First-principles (GGA-PBE) data for an optimized crystal structure of NbCdN3, as listed in Alexandria via LeMat-Bulk.

The space group is Pm-3m (No. 221) and the conventional cell measures 4.094, 4.094 and 4.094 Å, with angles of 90.00, 90.00 and 90.00 degrees. The asymmetric unit holds Nb at (0.000, 0.000, 0.000), Cd at (0.500, 0.500, 0.500) and N at (0.000, 0.000, 0.500).

As for the uncorrected energy: -6.62 eV per atom. The uncorrected formation energy is 0.572 eV/atom.